# CaNdZnPb PBE optimized geometry
# Total magnetization in μB/f.u.: 0.0
# Energy of formation from the pure elements in eV/atom: -0.3920
data_CaNdZnPb
_cell_length_a 7.644
_cell_length_b 7.644
_cell_length_c 7.644
_cell_angle_alpha 90.00
_cell_angle_beta 90.00
_cell_angle_gamma 90.00
_space_group_name_H-M_alt 'F -4 3 m'
_space_group_IT_number 216
_space_group_name_Hall 'F -4 2 3'
loop_
_atom_site_label
_atom_site_fract_x
_atom_site_fract_y
_atom_site_fract_z
_atom_site_occupancy
Ca1 0.000 0.000 0.000 1
Nd1 0.000 0.000 0.500 1
Zn1 0.250 0.250 0.250 1
Pb1 0.250 0.250 0.750 1

---

# CaNd4Pd2 PBE optimized geometry
# Total magnetization in μB/f.u.: 0.0
# Energy of formation from the pure elements in eV/atom: -0.3664
data_CaNd4Pd2
_cell_length_a 8.070
_cell_length_b 6.641
_cell_length_c 8.361
_cell_angle_alpha 90.00
_cell_angle_beta 111.80
_cell_angle_gamma 90.00
_space_group_name_H-M_alt 'P 1 21/m 1'
_space_group_IT_number 11
loop_
_space_group_symop_operation_xyz
'x,y,z'
'-x,-y,-z'
'-x,y+1/2,-z'
'x,-y+1/2,z'
loop_
_atom_site_label
_atom_site_fract_x
_atom_site_fract_y
_atom_site_fract_z
_atom_site_occupancy
Ca1 0.156 0.250 0.024 1
Nd1 0.022 0.250 0.390 1
Nd2 0.246 0.750 0.343 1
Nd3 0.403 0.004 0.763 1
Pd1 0.268 0.750 0.997 1
Pd2 0.384 0.250 0.418 1

---

# Ca3NdPd8 PBE optimized geometry
# Total magnetization in μB/f.u.: 0.0
# Energy of formation from the pure elements in eV/atom: -0.7127
data_Ca3NdPd8
_cell_length_a 5.4990
_cell_length_b 5.4990
_cell_length_c 26.7809
_cell_angle_alpha 90.00
_cell_angle_beta 90.00
_cell_angle_gamma 120.00
_space_group_name_H-M_alt 'R 3 m'
_space_group_IT_number 160
_space_group_name_Hall 'R 3 -2"'
loop_
_atom_site_label
_atom_site_fract_x
_atom_site_fract_y
_atom_site_fract_z
_atom_site_occupancy
Ca1 0.0000 0.0000 0.0000 1
Ca2 0.0000 0.0000 0.1233 1
Ca3 0.0000 0.0000 0.4942 1
Nd1 0.0000 0.0000 0.6214 1
Pd1 0.0000 0.0000 0.3097 1
Pd2 0.0000 0.0000 0.8095 1
Pd3 0.0013 0.5007 0.5600 1
Pd4 0.1671 0.3342 0.3925 1

---

# Ca5Nd4Pd4 PBE optimized geometry
# Total magnetization in μB/f.u.: 0.0
# Energy of formation from the pure elements in eV/atom: -0.4606
data_Ca5Nd4Pd4
_cell_length_a 13.571
_cell_length_b 13.571
_cell_length_c 4.127
_cell_angle_alpha 90.00
_cell_angle_beta 90.00
_cell_angle_gamma 90.00
_space_group_name_H-M_alt 'I 4/m'
_space_group_IT_number 87
_space_group_name_Hall '-I 4'
loop_
_atom_site_label
_atom_site_fract_x
_atom_site_fract_y
_atom_site_fract_z
_atom_site_occupancy
Ca1 0.000 0.000 0.000 1
Ca2 0.126 0.822 0.500 1
Nd1 0.094 0.380 0.500 1
Pd1 0.033 0.233 0.000 1

---

# Ca2NdPd2 PBE optimized geometry
# Total magnetization in μB/f.u.: 0.0
# Energy of formation from the pure elements in eV/atom: -0.5786
data_Ca2NdPd2
_cell_length_a 5.789
_cell_length_b 4.469
_cell_length_c 10.941
_cell_angle_alpha 90.00
_cell_angle_beta 96.19
_cell_angle_gamma 90.00
_space_group_name_H-M_alt 'P 1 21/m 1'
_space_group_IT_number 11
loop_
_space_group_symop_operation_xyz
'x,y,z'
'-x,-y,-z'
'-x,y+1/2,-z'
'x,-y+1/2,z'
loop_
_atom_site_label
_atom_site_fract_x
_atom_site_fract_y
_atom_site_fract_z
_atom_site_occupancy
Ca1 0.110 0.250 0.380 1
Ca2 0.249 0.250 0.038 1
Nd1 0.402 0.250 0.711 1
Pd1 0.236 0.750 0.854 1
Pd2 0.362 0.750 0.529 1

---

# Ca5NdPd6 PBE optimized geometry
# Total magnetization in μB/f.u.: 0.0
# Energy of formation from the pure elements in eV/atom: -0.7006
data_Ca5NdPd6
_cell_length_a 5.009
_cell_length_b 14.981
_cell_length_c 7.162
_cell_angle_alpha 90.00
_cell_angle_beta 90.00
_cell_angle_gamma 90.00
_space_group_name_H-M_alt 'C m m m'
_space_group_IT_number 65
_space_group_name_Hall '-C 2 2'
loop_
_atom_site_label
_atom_site_fract_x
_atom_site_fract_y
_atom_site_fract_z
_atom_site_occupancy
Ca1 0.000 0.000 0.000 1
Ca2 0.000 0.330 0.500 1
Ca3 0.000 0.334 0.000 1
Nd1 0.000 0.000 0.500 1
Pd1 0.000 0.164 0.251 1
Pd2 0.000 0.500 0.258 1

---

# CaNd4Pd5 PBE optimized geometry
# Total magnetization in μB/f.u.: 0.0
# Energy of formation from the pure elements in eV/atom: -0.7344
data_CaNd4Pd5
_cell_length_a 3.578
_cell_length_b 3.578
_cell_length_c 18.371
_cell_angle_alpha 90.00
_cell_angle_beta 90.00
_cell_angle_gamma 90.00
_space_group_name_H-M_alt 'P 4/m m m'
_space_group_IT_number 123
_space_group_name_Hall '-P 4 2'
loop_
_atom_site_label
_atom_site_fract_x
_atom_site_fract_y
_atom_site_fract_z
_atom_site_occupancy
Ca1 0.000 0.000 0.000 1
Nd1 0.000 0.000 0.197 1
Nd2 0.000 0.000 0.399 1
Pd1 0.500 0.500 0.104 1
Pd2 0.500 0.500 0.298 1
Pd3 0.500 0.500 0.500 1

---

# CaNd2Pd PBE optimized geometry
# Total magnetization in μB/f.u.: 0.0
# Energy of formation from the pure elements in eV/atom: -0.2614
# Energy above the lowest structure with this stoichiometry in meV per atom: 130
data_CaNd2Pd
_cell_length_a 3.9876
_cell_length_b 3.9876
_cell_length_c 29.9345
_cell_angle_alpha 90.00
_cell_angle_beta 90.00
_cell_angle_gamma 120.00
_space_group_name_H-M_alt 'R -3 m'
_space_group_IT_number 166
_space_group_name_Hall '-R 3 2"'
loop_
_atom_site_label
_atom_site_fract_x
_atom_site_fract_y
_atom_site_fract_z
_atom_site_occupancy
Ca1 0.0000 0.0000 0.0000 1
Nd1 0.0000 0.0000 0.2261 1
Pd1 0.0000 0.0000 0.5000 1

---

# Ca2NdPd PBE optimized geometry
# Total magnetization in μB/f.u.: 0.0
# Energy of formation from the pure elements in eV/atom: -0.1095
# Energy above the lowest structure with this stoichiometry in meV per atom: 278
data_Ca2NdPd
_cell_length_a 3.7326
_cell_length_b 3.7326
_cell_length_c 32.8653
_cell_angle_alpha 90.00
_cell_angle_beta 90.00
_cell_angle_gamma 120.00
_space_group_name_H-M_alt 'R -3 m'
_space_group_IT_number 166
_space_group_name_Hall '-R 3 2"'
loop_
_atom_site_label
_atom_site_fract_x
_atom_site_fract_y
_atom_site_fract_z
_atom_site_occupancy
Ca1 0.0000 0.0000 0.1100 1
Nd1 0.0000 0.0000 0.0000 1
Pd1 0.0000 0.0000 0.5000 1

---

# Ca2NdPd3 PBE optimized geometry
# Total magnetization in μB/f.u.: 0.0
# Energy of formation from the pure elements in eV/atom: -0.7190
# Energy above the lowest structure with this stoichiometry in meV per atom: 4
data_Ca2NdPd3
_cell_length_a 3.574
_cell_length_b 3.574
_cell_length_c 10.708
_cell_angle_alpha 90.00
_cell_angle_beta 90.00
_cell_angle_gamma 90.00
_space_group_name_H-M_alt 'P 4/m m m'
_space_group_IT_number 123
_space_group_name_Hall '-P 4 2'
loop_
_atom_site_label
_atom_site_fract_x
_atom_site_fract_y
_atom_site_fract_z
_atom_site_occupancy
Ca1 0.000 0.000 0.162 1
Nd1 0.000 0.000 0.500 1
Pd1 0.500 0.500 0.000 1
Pd2 0.500 0.500 0.337 1

---

# Ca2NdPd4 PBE optimized geometry
# Total magnetization in μB/f.u.: 0.0
# Energy of formation from the pure elements in eV/atom: -0.4261
data_Ca2NdPd4
_cell_length_a 7.294
_cell_length_b 7.294
_cell_length_c 6.109
_cell_angle_alpha 90.00
_cell_angle_beta 90.00
_cell_angle_gamma 90.00
_space_group_name_H-M_alt 'I 4/m m m'
_space_group_IT_number 139
_space_group_name_Hall '-I 4 2'
loop_
_atom_site_label
_atom_site_fract_x
_atom_site_fract_y
_atom_site_fract_z
_atom_site_occupancy
Ca1 0.000 0.500 0.000 1
Nd1 0.000 0.000 0.000 1
Pd1 0.250 0.250 0.250 1

---

# Ca3Nd2Pd4 PBE optimized geometry
# Total magnetization in μB/f.u.: 0.0
# Energy of formation from the pure elements in eV/atom: -0.6877
data_Ca3Nd2Pd4
_cell_length_a 7.909
_cell_length_b 7.898
_cell_length_c 7.555
_cell_angle_alpha 90.00
_cell_angle_beta 108.63
_cell_angle_gamma 90.00
_space_group_name_H-M_alt 'P 1 21/c 1'
_space_group_IT_number 14
loop_
_space_group_symop_operation_xyz
'x,y,z'
'-x,-y,-z'
'-x,y+1/2,-z+1/2'
'x,-y+1/2,z+1/2'
loop_
_atom_site_label
_atom_site_fract_x
_atom_site_fract_y
_atom_site_fract_z
_atom_site_occupancy
Ca1 0.000 0.000 0.000 1
Ca2 0.253 0.175 0.753 1
Nd1 0.308 0.681 0.932 1
Pd1 0.025 0.631 0.130 1
Pd2 0.426 0.027 0.151 1

---

# Ca2Nd2Pd3 PBE optimized geometry
# Total magnetization in μB/f.u.: 0.0
# Energy of formation from the pure elements in eV/atom: -0.6347
# Energy above the lowest structure with this stoichiometry in meV per atom: 0
data_Ca2Nd2Pd3
_cell_length_a 5.060
_cell_length_b 5.084
_cell_length_c 8.673
_cell_angle_alpha 72.96
_cell_angle_beta 89.96
_cell_angle_gamma 60.19
_space_group_name_H-M_alt 'P -1'
_space_group_IT_number 2
loop_
_space_group_symop_operation_xyz
'x,y,z'
'-x,-y,-z'
loop_
_atom_site_label
_atom_site_fract_x
_atom_site_fract_y
_atom_site_fract_z
_atom_site_occupancy
Ca1 0.127 0.246 0.382 1
Nd1 0.377 0.745 0.133 1
Pd1 0.000 0.500 0.000 1
Pd2 0.256 0.989 0.766 1

---

# CaNd2Pd PBE optimized geometry
# Total magnetization in μB/f.u.: 0.0
# Energy of formation from the pure elements in eV/atom: -0.3130
# Energy above the lowest structure with this stoichiometry in meV per atom: 79
data_CaNd2Pd
_cell_length_a 3.666
_cell_length_b 3.666
_cell_length_c 9.416
_cell_angle_alpha 90.00
_cell_angle_beta 90.00
_cell_angle_gamma 90.00
_space_group_name_H-M_alt 'P 4/m m m'
_space_group_IT_number 123
_space_group_name_Hall '-P 4 2'
loop_
_atom_site_label
_atom_site_fract_x
_atom_site_fract_y
_atom_site_fract_z
_atom_site_occupancy
Ca1 0.000 0.000 0.000 1
Nd1 0.500 0.500 0.319 1
Pd1 0.000 0.000 0.500 1

---

# Ca2NdPd3 PBE optimized geometry
# Total magnetization in μB/f.u.: 0.0
# Energy of formation from the pure elements in eV/atom: -0.7231
# Energy above the lowest structure with this stoichiometry in meV per atom: 0
data_Ca2NdPd3
_cell_length_a 5.036
_cell_length_b 15.017
_cell_length_c 7.217
_cell_angle_alpha 90.00
_cell_angle_beta 90.00
_cell_angle_gamma 90.00
_space_group_name_H-M_alt 'C m m m'
_space_group_IT_number 65
_space_group_name_Hall '-C 2 2'
loop_
_atom_site_label
_atom_site_fract_x
_atom_site_fract_y
_atom_site_fract_z
_atom_site_occupancy
Ca1 0.000 0.000 0.000 1
Ca2 0.000 0.000 0.500 1
Ca3 0.000 0.333 0.000 1
Nd1 0.000 0.337 0.500 1
Pd1 0.000 0.170 0.260 1
Pd2 0.000 0.500 0.249 1

---

# Ca3NdPd2 PBE optimized geometry
# Total magnetization in μB/f.u.: 0.0
# Energy of formation from the pure elements in eV/atom: -0.5138
data_Ca3NdPd2
_cell_length_a 4.591
_cell_length_b 9.376
_cell_length_c 7.666
_cell_angle_alpha 90.00
_cell_angle_beta 90.00
_cell_angle_gamma 90.00
_space_group_name_H-M_alt 'P m c 21'
_space_group_IT_number 26
loop_
_space_group_symop_operation_xyz
'x,y,z'
'-x,-y,z+1/2'
'-x,y,z'
'x,-y,z+1/2'
loop_
_atom_site_label
_atom_site_fract_x
_atom_site_fract_y
_atom_site_fract_z
_atom_site_occupancy
Ca1 0.000 0.084 0.000 1
Ca2 0.000 0.314 0.379 1
Ca3 0.500 0.177 0.669 1
Nd1 0.500 0.419 0.045 1
Pd1 0.000 0.373 0.775 1
Pd2 0.500 0.142 0.262 1

---

# Ca2NdPd PBE optimized geometry
# Total magnetization in μB/f.u.: 0.0
# Energy of formation from the pure elements in eV/atom: -0.3002
# Energy above the lowest structure with this stoichiometry in meV per atom: 87
data_Ca2NdPd
_cell_length_a 3.597
_cell_length_b 3.597
_cell_length_c 9.176
_cell_angle_alpha 90.00
_cell_angle_beta 90.00
_cell_angle_gamma 90.00
_space_group_name_H-M_alt 'P 4/m m m'
_space_group_IT_number 123
_space_group_name_Hall '-P 4 2'
loop_
_atom_site_label
_atom_site_fract_x
_atom_site_fract_y
_atom_site_fract_z
_atom_site_occupancy
Ca1 0.000 0.000 0.185 1
Nd1 0.500 0.500 0.500 1
Pd1 0.500 0.500 0.000 1

---

# Ca2NdPd PBE optimized geometry
# Total magnetization in μB/f.u.: 0.0
# Energy of formation from the pure elements in eV/atom: -0.3865
# Energy above the lowest structure with this stoichiometry in meV per atom: 1
data_Ca2NdPd
_cell_length_a 3.966
_cell_length_b 12.670
_cell_length_c 9.951
_cell_angle_alpha 90.00
_cell_angle_beta 90.00
_cell_angle_gamma 90.00
_space_group_name_H-M_alt 'C m c m'
_space_group_IT_number 63
_space_group_name_Hall '-C 2c 2'
loop_
_atom_site_label
_atom_site_fract_x
_atom_site_fract_y
_atom_site_fract_z
_atom_site_occupancy
Ca1 0.000 0.141 0.066 1
Nd1 0.000 0.421 0.250 1
Pd1 0.000 0.244 0.750 1

---

# Ca2NdPd PBE optimized geometry
# Total magnetization in μB/f.u.: 0.0
# Energy of formation from the pure elements in eV/atom: -0.3871
# Energy above the lowest structure with this stoichiometry in meV per atom: 0
data_Ca2NdPd
_cell_length_a 7.641
_cell_length_b 9.924
_cell_length_c 6.560
_cell_angle_alpha 90.00
_cell_angle_beta 90.00
_cell_angle_gamma 90.00
_space_group_name_H-M_alt 'P n m a'
_space_group_IT_number 62
loop_
_space_group_symop_operation_xyz
'x,y,z'
'-x,-y,-z'
'-x+1/2,-y,z+1/2'
'x+1/2,y,-z+1/2'
'x+1/2,-y+1/2,-z+1/2'
'-x+1/2,y+1/2,z+1/2'
'-x,y+1/2,-z'
'x,-y+1/2,z'
loop_
_atom_site_label
_atom_site_fract_x
_atom_site_fract_y
_atom_site_fract_z
_atom_site_occupancy
Ca1 0.178 0.065 0.162 1
Nd1 0.039 0.250 0.641 1
Pd1 0.119 0.750 0.953 1

---

# CaNd2Pd PBE optimized geometry
# Total magnetization in μB/f.u.: 0.0
# Energy of formation from the pure elements in eV/atom: -0.2576
# Energy above the lowest structure with this stoichiometry in meV per atom: 134
data_CaNd2Pd
_cell_length_a 4.0646
_cell_length_b 4.0646
_cell_length_c 29.2993
_cell_angle_alpha 90.00
_cell_angle_beta 90.00
_cell_angle_gamma 120.00
_space_group_name_H-M_alt 'R 3 m'
_space_group_IT_number 160
_space_group_name_Hall 'R 3 -2"'
loop_
_atom_site_label
_atom_site_fract_x
_atom_site_fract_y
_atom_site_fract_z
_atom_site_occupancy
Ca1 0.0000 0.0000 0.0000 1
Nd1 0.0000 0.0000 0.2260 1
Nd2 0.0000 0.0000 0.4431 1
Pd1 0.0000 0.0000 0.8348 1

---

# CaNd3Pd3 PBE optimized geometry
# Total magnetization in μB/f.u.: 0.0
# Energy of formation from the pure elements in eV/atom: -0.5908
data_CaNd3Pd3
_cell_length_a 9.432
_cell_length_b 10.783
_cell_length_c 7.300
_cell_angle_alpha 90.00
_cell_angle_beta 91.51
_cell_angle_gamma 90.00
_space_group_name_H-M_alt 'C 1 2/m 1'
_space_group_IT_number 12
loop_
_space_group_symop_operation_xyz
'x,y,z'
'-x,-y,-z'
'-x,y,-z'
'x,-y,z'
'x+1/2,y+1/2,z'
'-x+1/2,-y+1/2,-z'
'-x+1/2,y+1/2,-z'
'x+1/2,-y+1/2,z'
loop_
_atom_site_label
_atom_site_fract_x
_atom_site_fract_y
_atom_site_fract_z
_atom_site_occupancy
Ca1 0.240 0.000 0.376 1
Nd1 0.000 0.252 0.500 1
Nd2 0.000 0.323 0.000 1
Nd3 0.155 0.000 0.872 1
Pd1 0.063 0.500 0.306 1
Pd2 0.244 0.250 0.224 1

---

# Ca4NdPd5 PBE optimized geometry
# Total magnetization in μB/f.u.: 0.0
# Energy of formation from the pure elements in eV/atom: -0.7022
data_Ca4NdPd5
_cell_length_a 3.567
_cell_length_b 3.567
_cell_length_c 17.664
_cell_angle_alpha 90.00
_cell_angle_beta 90.00
_cell_angle_gamma 90.00
_space_group_name_H-M_alt 'P 4/m m m'
_space_group_IT_number 123
_space_group_name_Hall '-P 4 2'
loop_
_atom_site_label
_atom_site_fract_x
_atom_site_fract_y
_atom_site_fract_z
_atom_site_occupancy
Ca1 0.000 0.000 0.099 1
Ca2 0.000 0.000 0.295 1
Nd1 0.000 0.000 0.500 1
Pd1 0.500 0.500 0.000 1
Pd2 0.500 0.500 0.198 1
Pd3 0.500 0.500 0.401 1

---

# CaNd2Pd PBE optimized geometry
# Total magnetization in μB/f.u.: 0.0
# Energy of formation from the pure elements in eV/atom: -0.3919
# Energy above the lowest structure with this stoichiometry in meV per atom: 0
data_CaNd2Pd
_cell_length_a 7.451
_cell_length_b 10.131
_cell_length_c 6.524
_cell_angle_alpha 90.00
_cell_angle_beta 90.00
_cell_angle_gamma 90.00
_space_group_name_H-M_alt 'P n m a'
_space_group_IT_number 62
loop_
_space_group_symop_operation_xyz
'x,y,z'
'-x,-y,-z'
'-x+1/2,-y,z+1/2'
'x+1/2,y,-z+1/2'
'x+1/2,-y+1/2,-z+1/2'
'-x+1/2,y+1/2,z+1/2'
'-x,y+1/2,-z'
'x,-y+1/2,z'
loop_
_atom_site_label
_atom_site_fract_x
_atom_site_fract_y
_atom_site_fract_z
_atom_site_occupancy
Ca1 0.032 0.250 0.139 1
Nd1 0.176 0.061 0.669 1
Pd1 0.113 0.750 0.418 1